Record 1
## YSc2Fe2 (PBE-GGA)

Data for YSc2Fe2 after structural relaxation.

## Properties
DOS at the Fermi energy ... 0.962 states/eV/atom
Space group ... I4/mmm (139)
Total energy ... -6.9387 eV/atom
Calculated formation energy ... 0.272 eV per atom

```
YSc2Fe2
1.0
4.5042 0.0000 0.0000
0.0000 4.5042 0.0000
2.2521 2.2521 4.8424
Sc Y Fe
2 1 2
direct
0.3463 0.3463 0.3074
0.6537 0.6537 0.6926
0.0000 0.0000 0.0000
0.2500 0.7500 0.5000
0.7500 0.2500 0.5000
```

Record 2
## YScFe2 (PBE-GGA)

Data for YScFe2 after structural relaxation.

## Properties
DOS at the Fermi energy ... 1.723 states/eV/atom
Space group ... F-43m (216)
Total energy ... -7.1382 eV/atom
Calculated formation energy ... 0.292 eV per atom

```
YScFe2
1.0
-1.8879 3.9774 1.4336
-3.9850 -0.0460 2.3572
-0.0351 1.0534 4.5087
Fe Y Sc
2 1 1
direct
0.2500 0.2500 0.2500
0.0000 0.0000 0.0000
0.7500 0.7500 0.7500
0.5000 0.5000 0.5000
```

Record 3
## Y2ScFe (PBE-GGA)

Data for Y2ScFe after structural relaxation.

## Properties
DOS at the Fermi energy ... 1.328 states/eV/atom
Space group ... R3m (160)
Total energy ... -6.7252 eV/atom
Calculated formation energy ... 0.205 eV per atom

```
Y2ScFe
1.0
9.7637 0.0289 0.0171
9.1335 3.4511 0.0171
9.1335 1.6820 3.0136
Y Sc Fe
2 1 1
direct
0.0041 0.0041 0.0041
0.2284 0.2284 0.2284
0.7717 0.7717 0.7717
0.4958 0.4958 0.4958
```

Record 4
## YScFe3 (PBE-GGA)

Data for YScFe3 after structural relaxation.

## Properties
DOS at the Fermi energy ... 1.324 states/eV/atom
Space group ... Pm-3m (221)
Total energy ... -6.8047 eV/atom
Calculated formation energy ... 0.832 eV per atom

```
YScFe3
1.0
4.5725 0.0000 0.0000
0.0000 4.5725 0.0000
0.0000 0.0000 4.5725
Sc Y Fe
1 1 3
direct
0.0000 0.0000 0.0000
0.5000 0.5000 0.5000
0.5000 0.0000 0.0000
0.0000 0.0000 0.5000
0.0000 0.5000 0.0000
```

Record 5
## Y2ScFe (PBE-GGA)

Data for Y2ScFe after structural relaxation.

## Properties
DOS at the Fermi energy ... 1.757 states/eV/atom
Space group ... I-4m2 (119)
Total energy ... -6.6147 eV/atom
Calculated formation energy ... 0.316 eV per atom

```
Y2ScFe
1.0
-4.5364 2.9264 2.0599
-4.9637 -1.2301 -2.6897
4.1981 -3.1671 2.3940
Fe Y Sc
1 2 1
direct
0.5000 0.5000 0.0000
0.2500 0.7500 0.5000
0.0000 0.0000 0.0000
0.7500 0.2500 0.5000
```

Record 6
## YScZnFe (PBE-GGA)

Data for YScZnFe after structural relaxation.

## Properties
DOS at the Fermi energy ... 1.140 states/eV/atom
Space group ... F-43m (216)
Total energy ... -5.7341 eV/atom
Calculated formation energy ... -0.101 eV per atom

```
YScZnFe
1.0
-1.6966 -4.3485 0.9256
1.8648 -2.5782 3.5383
-2.5196 -0.7775 3.9613
Fe Zn Sc Y
1 1 1 1
direct
0.5000 0.5000 0.5000
0.0000 0.0000 0.0000
0.7500 0.7500 0.7500
0.2500 0.2500 0.2500
```